An optimized crystal structure of Y2FeIrBr. Source: Alexandria via LeMat-Bulk, functional PBE-GGA.

Structure (extended XYZ):
```
5
Lattice="5.446 0.000 0.000 0.000 5.446 0.000 0.000 0.000 4.664" Properties=species:S:1:pos:R:3 pbc="T T T"
Y 0.000 2.723 0.000
Y 2.723 0.000 0.000
Fe 0.000 0.000 2.332
Ir 0.000 0.000 0.000
Br 2.723 2.723 2.332
```

Computed properties:
**Energy relative to the elements, uncorrected**: -0.9 eV/f.u.
**Spin magnetization**: 0.52 μB per atom
**N(E_F)**: 3.89 states/eV per cell
**Calculated density**: 6.1 g cm⁻³